KErCoF6: optimized geometry, PBE+U.

Unit cell a=7.300 b=7.300 c=7.300 alpha=121.31 beta=118.69 gamma=90.01
Fractional coordinates of all 18 atoms:
K 0.345 0.095 0.250
K 0.655 0.905 0.750
Er 0.000 0.500 0.500
Er 0.500 0.500 0.000
Co 0.000 0.000 0.500
Co 0.000 0.500 0.000
F 0.068 0.349 0.184
F 0.068 0.885 0.719
F 0.104 0.354 0.750
F 0.335 0.115 0.684
F 0.335 0.651 0.219
F 0.363 0.613 0.750
F 0.637 0.387 0.250
F 0.665 0.349 0.781
F 0.665 0.885 0.316
F 0.896 0.646 0.250
F 0.932 0.115 0.281
F 0.932 0.651 0.816

Computed properties:
Magnetic moment ... 6.00 Bohr magnetons per cell
Symmetry ... Imma (74)
VASP energy ... -5.59 eV/atom